(1)
Below is Hf5Cr2H12 after structural relaxation, with properties calculated at the PBE level.

```
Hf5Cr2H12
1.0
5.3009 0.0000 0.0000
-2.6505 4.9167 0.1365
0.0000 -1.5627 6.2698
H Hf Cr
12 5 2
Direct
0.4051 0.3423 0.5981
0.4812 0.9624 0.1499
0.5949 0.6577 0.4019
0.0658 0.1316 0.8482
0.5188 0.0376 0.8501
0.0628 0.6577 0.4019
0.4749 0.3444 0.0965
0.9372 0.3423 0.5981
0.9342 0.8684 0.1518
0.5251 0.6556 0.9035
0.8695 0.3444 0.0965
0.1305 0.6556 0.9035
0.2851 0.5703 0.1606
0.6547 0.3095 0.3634
0.7149 0.4297 0.8394
0.0000 0.0000 0.5000
0.3453 0.6905 0.6366
0.2215 0.0000 0.0000
0.7785 0.0000 0.0000
```

Electronic total energy (eV/atom): -6.02
Space group: C2/m, No. 12

***

(2)
Below is HfCr3H6 after structural relaxation, with properties calculated at the PBE level.

```
HfCr3H6
1.0
1.5197 -3.3593 -2.4387
1.3973 0.5196 4.1617
-4.7910 -0.4691 1.6672
H Hf Cr
6 1 3
Direct
0.3133 0.4242 0.7241
0.8350 0.4108 0.7241
0.3000 0.8891 0.7242
0.6181 0.5116 0.2809
0.7693 0.1065 0.2809
0.1744 0.6628 0.2809
0.7838 0.8919 0.6756
0.2030 0.1015 0.3045
0.3607 0.6803 0.0410
0.6425 0.3212 0.9638
```

Electronic total energy (eV/atom): -5.96
Space group: R3, No. 146

***

(3)
Below is HfCrH3 after structural relaxation, with properties calculated at the PBE level.

```
HfCrH3
1.0
-2.8092 -1.0873 -1.5907
-0.6738 -2.0803 2.6120
-1.8051 2.4686 1.5005
Cr H Hf
1 3 1
Direct
0.0000 0.0000 0.0000
0.0000 0.0000 0.5000
0.5000 0.0000 0.0000
0.0000 0.5000 0.0000
0.5000 0.5000 0.5000
```

Electronic total energy (eV/atom): -6.04
Space group: Pm-3m, No. 221

***

(4)
Below is HfCrH3 after structural relaxation, with properties calculated at the PBE level.

```
HfCrH3
1.0
-0.4185 -3.1480 -1.9724
0.5680 -2.0157 3.0967
-3.6712 0.0470 0.7040
Cr H Hf
1 3 1
Direct
0.5000 0.5000 0.5000
0.5000 0.0000 0.0000
0.0000 0.5000 0.0000
0.0000 0.0000 0.5000
0.0000 0.0000 0.0000
```

Electronic total energy (eV/atom): -5.67
Space group: Pm-3m, No. 221

***

(5)
Below is Hf2CrH6 after structural relaxation, with properties calculated at the PBE level.

```
Hf2CrH6
1.0
3.2761 0.0000 -0.1194
0.0000 4.4836 0.0000
-1.4347 -2.2418 4.9906
H Hf Cr
6 2 1
Direct
0.8369 0.5979 0.6746
0.5000 0.2295 0.0000
0.5000 0.7705 0.0000
0.1631 0.9233 0.3254
0.1631 0.4021 0.3254
0.8369 0.0767 0.6746
0.6645 0.6640 0.3280
0.3355 0.3360 0.6720
0.0000 0.0000 0.0000
```

Electronic total energy (eV/atom): -5.83
Space group: C2/m, No. 12

***

(6)
Below is Hf2CrHgH after structural relaxation, with properties calculated at the PBE level.

```
Hf2CrHgH
1.0
4.5905 0.0000 0.0000
0.0000 4.5905 0.0000
0.0000 0.0000 3.6310
Hg Hf H Cr
1 2 1 1
Direct
0.5000 0.5000 0.5000
0.0000 0.5000 0.0000
0.5000 0.0000 0.0000
0.0000 0.0000 0.0000
0.0000 0.0000 0.5000
```

Electronic total energy (eV/atom): -6.64
Space group: P4/mmm, No. 123

***

(7)
Below is Hf2CrHIr after structural relaxation, with properties calculated at the PBE level.

```
Hf2CrHIr
1.0
4.5602 0.0000 0.0000
0.0000 4.5602 0.0000
0.0000 0.0000 3.3492
Cr Hf Ir H
1 2 1 1
Direct
0.0000 0.0000 0.5000
0.5000 0.0000 0.0000
0.0000 0.5000 0.0000
0.5000 0.5000 0.5000
0.0000 0.0000 0.0000
```

Electronic total energy (eV/atom): -8.82
Space group: P4/mmm, No. 123

***

(8)
Below is Hf2CrHN after structural relaxation, with properties calculated at the PBE level.

```
Hf2CrHN
1.0
4.7234 0.0000 0.0000
0.0000 4.7234 0.0000
0.0000 0.0000 2.8447
Cr N H Hf
1 1 1 2
Direct
0.5000 0.5000 0.5000
0.0000 0.0000 0.5000
0.0000 0.0000 0.0000
0.0000 0.5000 0.0000
0.5000 0.0000 0.0000
```

Electronic total energy (eV/atom): -7.79
Space group: P4/mmm, No. 123

***

Number 1: V 165 Å³ per cell. Number 2: V 75 Å³ per cell. Number 3: V 40 Å³ per cell. Number 4: V 52 Å³ per cell. Number 5: V 73 Å³ per cell. Number 6: V 77 Å³ per cell. Number 7: V 70 Å³ per cell. Number 8: V 63 Å³ per cell.